Ce6CdHg5: optimized geometry, PBE.

Computed properties:
**ρ**: 9664 kg/m3
**Total magnetic moment**: 8.4 μB/f.u.
**Uncorrected energy**: -3.43 eV/atom

a = 5.3461 Å, b = 7.8345 Å, c = 8.4585 Å
α = 90.00°, β = 71.58°, γ = 90.00°
Fractional coordinates of all 12 atoms:
Hg1 0.6658 0.5000 0.6685
Hg2 0.3372 0.0000 0.3256
Hg3 0.0000 0.5000 0.0000
Hg4 0.6628 0.0000 0.6744
Hg5 0.3342 0.5000 0.3315
Ce1 0.8315 0.7502 0.3371
Ce2 0.8315 0.2498 0.3371
Ce3 0.5000 0.2530 0.0000
Ce4 0.5000 0.7470 0.0000
Ce5 0.1685 0.7502 0.6629
Ce6 0.1685 0.2498 0.6629
Cd1 0.0000 0.0000 0.0000